1.
Below is K2ReMo after structural relaxation, with properties calculated at the PBE level.

## Properties
N(E_F) = 0.92 states/eV per atom
VASP energy = -4.6260 eV/atom
energy relative to the lowest polymorph listed for this composition = 891 meV/atom
formation enthalpy at 0 K = 1.743 eV/atom

POSCAR file:
```
K2ReMo
1.0
-6.3714 6.3714 2.3424
6.3714 -6.3714 2.3424
6.3714 6.3714 -2.3424
K Re Mo
4 2 2
direct
0.3750 0.2116 0.3366
0.7884 0.1250 0.1634
0.8750 0.0384 0.6634
0.9616 0.6250 0.8366
0.0000 0.0000 0.0000
0.7500 0.2500 0.5000
0.2500 0.7500 0.5000
0.5000 0.5000 0.0000
```


2.
Below is CsCd3Ru after structural relaxation, with properties calculated at the PBE level.

## Properties
N(E_F) = 4.75 states/eV per atom
VASP energy = -0.9213 eV/atom
energy relative to the lowest polymorph listed for this composition = 1434 meV/atom
formation enthalpy at 0 K = 1.654 eV/atom

POSCAR file:
```
CsCd3Ru
1.0
6.9543 0.0000 0.0000
0.0000 6.9543 0.0000
0.0000 0.0000 6.9543
Cs Cd Ru
1 3 1
direct
0.0000 0.0000 0.0000
0.0000 0.0000 0.5000
0.0000 0.5000 0.0000
0.5000 0.0000 0.0000
0.5000 0.5000 0.5000
```


3.
Below is Na2ZnSnH after structural relaxation, with properties calculated at the PBE level.

## Properties
N(E_F) = 0.42 states/eV per atom
VASP energy = -2.2277 eV/atom

POSCAR file:
```
Na2ZnSnH
1.0
4.3037 0.0000 0.0000
0.0000 4.3037 0.0000
0.0000 0.0000 5.2045
Na Zn Sn H
2 1 1 1
direct
0.0000 0.5000 0.0000
0.5000 0.0000 0.0000
0.0000 0.0000 0.5000
0.5000 0.5000 0.5000
0.0000 0.0000 0.0000
```


4.
Below is NdGaTeO6 after structural relaxation, with properties calculated at the PBE level.

## Properties
uncorrected formation energy = -2003.5 meV per atom
N(E_F) = 0.00 states/eV per atom
VASP energy = -6.5241 eV/atom

POSCAR file:
```
NdGaTeO6
1.0
5.2022 0.0000 0.0000
-2.6011 4.5052 0.0000
0.0000 0.0000 10.2888
Nd Ga Te O
2 2 2 12
direct
0.0000 0.0000 0.0000
0.0000 0.0000 0.5000
0.3333 0.6667 0.2500
0.6667 0.3333 0.7500
0.3333 0.6667 0.7500
0.6667 0.3333 0.2500
0.0085 0.3733 0.6431
0.0085 0.6353 0.8569
0.3647 0.3733 0.8569
0.3647 0.9915 0.6431
0.3733 0.0085 0.1431
0.3733 0.3647 0.3569
0.6267 0.6353 0.6431
0.6267 0.9915 0.8569
0.6353 0.0085 0.3569
0.6353 0.6267 0.1431
0.9915 0.3647 0.1431
0.9915 0.6267 0.3569
```


5.
Below is TlZnSnC2 after structural relaxation, with properties calculated at the PBE level.

## Properties
N(E_F) = 0.67 states/eV per atom
VASP energy = -3.1811 eV/atom
formation enthalpy at 0 K = 2.037 eV/atom

POSCAR file:
```
TlZnSnC2
1.0
4.1885 0.0000 0.0000
0.0000 4.1885 0.0000
0.0000 0.0000 5.4468
Tl Zn Sn C
1 1 1 2
direct
0.0000 0.0000 0.0000
0.0000 0.0000 0.5000
0.5000 0.5000 0.0000
0.0000 0.5000 0.5000
0.5000 0.0000 0.5000
```


6.
Below is Zr2TlF8 after structural relaxation, with properties calculated at the PBE level.

## Properties
uncorrected formation energy = -3184.9 meV per atom
N(E_F) = 0.28 states/eV per atom
VASP energy = -6.3152 eV/atom

POSCAR file:
```
Zr2TlF8
1.0
3.4155 -5.1988 0.0000
3.4155 5.1988 0.0000
0.0000 0.0000 4.4192
Zr Tl F
2 1 8
direct
0.1783 0.8217 0.0000
0.8217 0.1783 0.0000
0.5000 0.5000 0.5000
0.0000 0.0000 0.2481
0.0000 0.0000 0.7519
0.1718 0.4603 0.0000
0.2259 0.7741 0.5000
0.4603 0.1718 0.0000
0.5397 0.8282 0.0000
0.7741 0.2259 0.5000
0.8282 0.5397 0.0000
```


7.
Below is LaDyTeO6 after structural relaxation, with properties calculated at the PBE level.

## Properties
uncorrected formation energy = -2479.0 meV per atom
N(E_F) = 0.00 states/eV per atom
VASP energy = -7.1924 eV/atom

POSCAR file:
```
LaDyTeO6
1.0
5.6215 0.0000 0.0000
-2.8108 4.8684 0.0000
0.0000 0.0000 10.0306
La Dy Te O
2 2 2 12
direct
0.0000 0.0000 0.0000
0.0000 0.0000 0.5000
0.3333 0.6667 0.2500
0.6667 0.3333 0.7500
0.3333 0.6667 0.7500
0.6667 0.3333 0.2500
0.0423 0.3812 0.6399
0.0423 0.6611 0.8601
0.3389 0.3812 0.8601
0.3389 0.9577 0.6399
0.3812 0.0423 0.1399
0.3812 0.3389 0.3601
0.6188 0.6611 0.6399
0.6188 0.9577 0.8601
0.6611 0.0423 0.3601
0.6611 0.6188 0.1399
0.9577 0.3389 0.1399
0.9577 0.6188 0.3601
```


8.
Below is AlFeNiP2 after structural relaxation, with properties calculated at the PBE level.

## Properties
N(E_F) = 0.89 states/eV per atom
VASP energy = -5.1728 eV/atom
formation enthalpy at 0 K = 0.589 eV/atom

POSCAR file:
```
AlFeNiP2
1.0
4.2870 0.0000 0.0000
0.0000 4.2870 0.0000
0.0000 0.0000 4.5608
Al Fe Ni P
1 1 1 2
direct
0.0000 0.0000 0.0000
0.5000 0.5000 0.0000
0.5000 0.5000 0.5000
0.0000 0.5000 0.5000
0.5000 0.0000 0.5000
```


Copy entry 7 word for word.
Below is LaDyTeO6 after structural relaxation, with properties calculated at the PBE level.

## Properties
uncorrected formation energy = -2479.0 meV per atom
N(E_F) = 0.00 states/eV per atom
VASP energy = -7.1924 eV/atom

POSCAR file:
```
LaDyTeO6
1.0
5.6215 0.0000 0.0000
-2.8108 4.8684 0.0000
0.0000 0.0000 10.0306
La Dy Te O
2 2 2 12
direct
0.0000 0.0000 0.0000
0.0000 0.0000 0.5000
0.3333 0.6667 0.2500
0.6667 0.3333 0.7500
0.3333 0.6667 0.7500
0.6667 0.3333 0.2500
0.0423 0.3812 0.6399
0.0423 0.6611 0.8601
0.3389 0.3812 0.8601
0.3389 0.9577 0.6399
0.3812 0.0423 0.1399
0.3812 0.3389 0.3601
0.6188 0.6611 0.6399
0.6188 0.9577 0.8601
0.6611 0.0423 0.3601
0.6611 0.6188 0.1399
0.9577 0.3389 0.1399
0.9577 0.6188 0.3601
```